Compound: Ba7Pt2Au2
Source: Alexandria
Functional: PBE
Structure: relaxed

Cell and atoms, written as POSCAR:
```
Ba7Pt2Au2
1.0
8.302 -0.021 -0.577
-0.850 7.890 -3.257
-0.047 0.383 8.570
Ba Au Pt
7 2 2
direct
0.266 0.559 0.951
0.000 0.000 0.000
0.734 0.049 0.441
0.734 0.441 0.049
0.243 0.429 0.429
0.757 0.571 0.571
0.266 0.951 0.559
0.500 0.313 0.687
0.500 0.687 0.313
0.890 0.284 0.284
0.110 0.716 0.716
```

Results
The total DFT energy (no corrections) comes out at -3.37 eV/atom. The value obtained for the magnetization is 0.00 μB per atom. The calculation puts the formation energy at -455 meV/atom.

=====

Compound: CaAl2Ni
Source: Alexandria
Functional: PBE
Structure: relaxed

Cell and atoms, written as POSCAR:
```
CaAl2Ni
1.0
5.860 -0.135 -0.085
4.458 3.806 -0.085
4.458 1.586 3.461
Ca Al Ni
1 2 1
direct
0.750 0.750 0.750
0.949 0.949 0.949
0.551 0.551 0.551
0.250 0.250 0.250
```

Results
The total DFT energy (no corrections) comes out at -4.19 eV/atom. The value obtained for the magnetization is 0.00 μB per atom. The calculation puts the formation energy at -369 meV/atom.

=====

Compound: AsNF2
Source: Alexandria
Functional: PBE
Structure: relaxed

Cell and atoms, written as POSCAR:
```
AsNF2
1.0
3.366 0.000 0.000
0.000 3.366 0.000
1.683 1.683 7.494
N F As
2 4 2
direct
0.500 0.500 0.000
0.250 0.750 0.500
0.875 0.882 0.750
0.118 0.625 0.250
0.632 0.125 0.250
0.375 0.368 0.750
0.750 0.250 0.500
0.000 0.000 0.000
```

Results
The formation energy from raw total energies comes out at 0.15 eV/atom. The total DFT energy (no corrections) comes out at -4.03 eV/atom. The value obtained for the magnetization is 0.00 μB per atom.

=====

Compound: As2SeCl
Source: Alexandria
Functional: PBE
Structure: relaxed

Cell and atoms, written as POSCAR:
```
As2SeCl
1.0
-3.766 -1.704 -3.634
-3.037 -3.327 3.162
1.466 5.235 -0.857
As Se Cl
2 1 1
direct
0.515 0.515 0.000
0.985 0.985 0.000
0.750 0.250 0.500
0.250 0.750 0.500
```

Results
The formation energy from raw total energies comes out at 0.30 eV/atom. The energy above the most stable polymorph in this dataset comes out at 168 kJ/mol of formula units. The total DFT energy (no corrections) comes out at -3.35 eV/atom. The value obtained for the magnetization is 0.00 μB per atom.

=====

Compound: TbCdInRh
Source: Alexandria
Functional: PBE
Structure: relaxed

Cell and atoms, written as POSCAR:
```
TbCdInRh
1.0
4.907 0.000 0.000
2.454 4.250 0.000
2.454 1.417 4.007
Rh Tb In Cd
1 1 1 1
direct
0.250 0.250 0.250
0.500 0.500 0.500
0.000 0.000 0.000
0.750 0.750 0.750
```

Results
The total DFT energy (no corrections) comes out at -4.31 eV/atom. The value obtained for the magnetization is 0.00 μB per atom. The calculation puts the formation energy at -403 meV/atom.

=====

Compound: LiP2Ir
Source: Alexandria
Functional: PBE
Structure: relaxed

Cell and atoms, written as POSCAR:
```
LiP2Ir
1.0
-1.663 3.465 0.015
-0.433 -0.222 3.368
4.231 2.028 0.681
Li P Ir
1 2 1
direct
0.500 0.750 0.750
0.000 0.250 0.531
0.000 0.250 0.969
0.500 0.250 0.250
```

Results
The energy above the most stable polymorph in this dataset comes out at 74 kJ/mol of formula units. The total DFT energy (no corrections) comes out at -5.79 eV/atom. The value obtained for the magnetization is 0.00 μB per atom. The calculation puts the formation energy at -391 meV/atom.

=====

Compound: Sr2CdP2
Source: Alexandria
Functional: PBE
Structure: relaxed

Cell and atoms, written as POSCAR:
```
Sr2CdP2
1.0
-6.289 -3.697 3.007
4.462 -2.819 5.866
-0.894 3.405 2.316
Sr P Cd
4 4 2
direct
0.645 0.855 0.500
0.855 0.355 0.500
0.355 0.145 0.500
0.145 0.645 0.500
0.666 0.166 0.000
0.834 0.666 0.000
0.166 0.334 0.000
0.334 0.834 0.000
0.000 0.000 0.000
0.500 0.500 0.000
```

Results
The total DFT energy (no corrections) comes out at -3.67 eV/atom. The value obtained for the magnetization is 0.00 μB per atom. The calculation puts the formation energy at -653 meV/atom.

=====

Compound: CsKZrI6
Source: Alexandria
Functional: PBE
Structure: relaxed

Cell and atoms, written as POSCAR:
```
CsKZrI6
1.0
-7.244 -0.942 4.710
3.143 -6.720 -4.530
8.373 -4.199 12.038
I Cs K Zr
12 2 2 2
direct
0.403 0.057 0.139
0.345 0.943 0.639
0.655 0.597 0.139
0.345 0.403 0.861
0.403 0.345 0.361
0.057 0.403 0.639
0.943 0.597 0.361
0.597 0.655 0.639
0.597 0.943 0.861
0.655 0.057 0.361
0.057 0.655 0.861
0.943 0.345 0.139
0.000 0.000 0.500
0.000 0.000 0.000
0.333 0.667 0.250
0.667 0.333 0.750
0.667 0.333 0.250
0.333 0.667 0.750
```

Results
The formation energy from raw total energies comes out at -1.18 eV/atom. The total DFT energy (no corrections) comes out at -3.38 eV/atom. The value obtained for the magnetization is 0.00 μB per atom.

=====

What is the total DFT energy (no corrections) in the seventh record? -3.67 eV/atom

=====

What did the eighth record say?
Compound: CsKZrI6
Source: Alexandria
Functional: PBE
Structure: relaxed

Cell and atoms, written as POSCAR:
```
CsKZrI6
1.0
-7.244 -0.942 4.710
3.143 -6.720 -4.530
8.373 -4.199 12.038
I Cs K Zr
12 2 2 2
direct
0.403 0.057 0.139
0.345 0.943 0.639
0.655 0.597 0.139
0.345 0.403 0.861
0.403 0.345 0.361
0.057 0.403 0.639
0.943 0.597 0.361
0.597 0.655 0.639
0.597 0.943 0.861
0.655 0.057 0.361
0.057 0.655 0.861
0.943 0.345 0.139
0.000 0.000 0.500
0.000 0.000 0.000
0.333 0.667 0.250
0.667 0.333 0.750
0.667 0.333 0.250
0.333 0.667 0.750
```

Results
The formation energy from raw total energies comes out at -1.18 eV/atom. The total DFT energy (no corrections) comes out at -3.38 eV/atom. The value obtained for the magnetization is 0.00 μB per atom.

=====

Copy entry 6 word for word.
Compound: LiP2Ir
Source: Alexandria
Functional: PBE
Structure: relaxed

Cell and atoms, written as POSCAR:
```
LiP2Ir
1.0
-1.663 3.465 0.015
-0.433 -0.222 3.368
4.231 2.028 0.681
Li P Ir
1 2 1
direct
0.500 0.750 0.750
0.000 0.250 0.531
0.000 0.250 0.969
0.500 0.250 0.250
```

Results
The energy above the most stable polymorph in this dataset comes out at 74 kJ/mol of formula units. The total DFT energy (no corrections) comes out at -5.79 eV/atom. The value obtained for the magnetization is 0.00 μB per atom. The calculation puts the formation energy at -391 meV/atom.